A geometry-optimized Y2Zn2Ga structure. Source: Alexandria via LeMat-Bulk, functional GGA-PBE.

## Properties
Energy relative to the elements, meV per atom: -137
D(E_F), states/eV/f.u.: 3.08
Theoretical density, g cm⁻³: 5.24
Calculated volume, Å³ per cell: 239.68

a b c (Å): 8.075 8.075 3.676
angles (deg): 90.00 90.00 90.00
Positions (direct):
Y  0.168  0.332  0.000
Y  0.332  0.832  0.000
Y  0.668  0.168  0.000
Y  0.832  0.668  0.000
Zn  0.127  0.627  0.500
Zn  0.373  0.127  0.500
Zn  0.627  0.873  0.500
Zn  0.873  0.373  0.500
Ga  0.000  0.000  0.000
Ga  0.500  0.500  0.000


A geometry-optimized Te3Pd8 structure. Source: Alexandria via LeMat-Bulk, functional GGA-PBE.

## Properties
D(E_F), states/eV/f.u.: 5.40
Theoretical density, g cm⁻³: 9.20
Calculated volume, Å³ per cell: 222.69
Formation energy from raw total energies, eV/f.u.: -0.64

a b c (Å): 6.120 6.120 6.120
angles (deg): 97.53 97.53 97.53
Positions (direct):
Te  0.000  0.500  0.500
Te  0.500  0.000  0.500
Te  0.500  0.500  0.000
Pd  0.075  0.332  0.868
Pd  0.132  0.925  0.668
Pd  0.287  0.287  0.287
Pd  0.332  0.868  0.075
Pd  0.668  0.132  0.925
Pd  0.713  0.713  0.713
Pd  0.868  0.075  0.332
Pd  0.925  0.668  0.132


A geometry-optimized CdGaHgAu structure. Source: Alexandria via LeMat-Bulk, functional GGA-PBE.

## Properties
Energy relative to the elements, meV per atom: 22
D(E_F), states/eV/f.u.: 3.32
Theoretical density, g cm⁻³: 11.28
Calculated volume, Å³ per cell: 85.37

a b c (Å): 4.942 4.942 4.942
angles (deg): 60.00 60.00 60.00
Positions (direct):
Cd  0.000  0.000  0.000
Ga  0.500  0.500  0.500
Hg  0.250  0.250  0.250
Au  0.750  0.750  0.750